Ho4Tm5Sc | PBE | optimized geometry

Calculated values
ΔE to the lowest computed polymorph in meV/atom: 80
DOS at the Fermi energy in states/eV per cell: 25.92
E_form in meV/atom: 241

Unit cell a=10.486 b=10.486 c=5.660 alpha=90.00 beta=90.00 gamma=90.00
Space group I4mm (No. 107)
One atom of each set of equivalent atoms:
Ho: 0.000 0.322 0.000
Tm: 0.000 0.000 0.229
Tm: 0.187 0.187 0.508
Sc: 0.000 0.000 0.758

***

CaBe2ZnAu4 | PBE | optimized geometry

Calculated values
DOS at the Fermi energy in states/eV per cell: 3.18
E_form in meV/atom: -240

Unit cell a=4.2434 b=4.2434 c=27.0431 alpha=90.00 beta=90.00 gamma=120.00
Space group R-3m (No. 166, hexagonal axes)
One atom of each set of equivalent atoms:
Ca: 0.0000 0.0000 0.0000
Be: 0.0000 0.0000 0.2380
Zn: 0.0000 0.0000 0.5000
Au: 0.0000 0.0000 0.1288
Au: 0.0000 0.0000 0.4024

***

BaInGe2Te | PBE | optimized geometry

Calculated values
DOS at the Fermi energy in states/eV per cell: 6.10
Formation energy (no corrections) in eV/atom: 0.757

Unit cell a=5.950 b=5.950 c=6.413 alpha=90.00 beta=90.00 gamma=90.00
Space group P4/mmm (No. 123)
One atom of each set of equivalent atoms:
Ba: 0.000 0.000 0.000
In: 0.500 0.500 0.500
Ge: 0.000 0.500 0.000
Te: 0.000 0.000 0.500

***

K3Sb | PBE | optimized geometry

Calculated values
ΔE to the lowest computed polymorph in meV/atom: 259
DOS at the Fermi energy in states/eV per cell: 2.98
Formation energy (no corrections) in eV/atom: -0.156

Unit cell a=5.962 b=5.974 c=11.620 alpha=90.00 beta=90.00 gamma=90.00
Space group Cmmm (No. 65)
One atom of each set of equivalent atoms:
K: 0.000 0.000 0.000
K: 0.000 0.500 0.330
Sb: 0.000 0.000 0.500

***

SnSb3Au3 | PBE | optimized geometry

Calculated values
DOS at the Fermi energy in states/eV per cell: 5.68
Formation energy (no corrections) in eV/atom: -0.011

Unit cell a=7.179 b=7.922 c=8.349 alpha=117.99 beta=95.50 gamma=110.16
Space group P-1 (No. 2)
One atom of each set of equivalent atoms:
Sn: 0.056 0.252 0.335
Sb: 0.224 0.319 0.773
Sb: 0.302 0.976 0.071
Sb: 0.371 0.728 0.424
Au: 0.199 0.986 0.407
Au: 0.287 0.643 0.706
Au: 0.310 0.346 0.114

***

YHfFe10 | PBE | optimized geometry

Calculated values
DOS at the Fermi energy in states/eV per cell: 10.20
E_form in meV/atom: -66

Unit cell a=3.952 b=4.918 c=8.490 alpha=90.00 beta=90.00 gamma=90.00
Space group Pmmm (No. 47)
One atom of each set of equivalent atoms:
Y: 0.000 0.000 0.000
Hf: 0.000 0.500 0.500
Fe: 0.000 0.000 0.340
Fe: 0.000 0.500 0.174
Fe: 0.500 0.000 0.500
Fe: 0.500 0.253 0.257
Fe: 0.500 0.500 0.000

***

Q: What is the DOS at the Fermi energy in the third record?
A: 6.10 states/eV per cell

***

Q: What is the formula in the first record?
A: Ho4Tm5Sc